Below is a geometry-optimized Cs2HgIBr6 structure, with properties calculated at the PBE-GGA level.

## Properties
The uncorrected formation energy is -815 kJ/mol of formula units. The volume comes out at 422.31 Å³/cell.

a = 8.385 Å, b = 8.385 Å, c = 8.385 Å
α = 119.12°, β = 119.12°, γ = 91.54°
Positions (direct):
Cs: 0.250 0.750 0.500
Cs: 0.750 0.250 0.500
Hg: 0.000 0.000 0.000
I: 0.500 0.500 0.000
Br: 0.224 0.224 0.448
Br: 0.224 0.776 0.000
Br: 0.270 0.270 0.000
Br: 0.730 0.730 0.000
Br: 0.776 0.224 0.000
Br: 0.776 0.776 0.552

=====

Below is a geometry-optimized LaCu13 structure, with properties calculated at the PBE-GGA level.

## Properties
The volume comes out at 391.11 Å³/cell. The calculation puts the formation energy at -7.1 kJ/mol of atoms.

a = 8.209 Å, b = 8.209 Å, c = 8.209 Å
α = 60.00°, β = 60.00°, γ = 60.00°
Positions (direct):
La: 0.250 0.250 0.250
La: 0.750 0.750 0.750
Cu: 0.000 0.000 0.000
Cu: 0.063 0.297 0.703
Cu: 0.063 0.703 0.937
Cu: 0.063 0.937 0.297
Cu: 0.203 0.437 0.797
Cu: 0.203 0.563 0.437
Cu: 0.203 0.797 0.563
Cu: 0.297 0.063 0.937
Cu: 0.297 0.703 0.063
Cu: 0.297 0.937 0.703
Cu: 0.437 0.203 0.563
Cu: 0.437 0.563 0.797
Cu: 0.437 0.797 0.203
Cu: 0.500 0.500 0.500
Cu: 0.563 0.203 0.797
Cu: 0.563 0.437 0.203
Cu: 0.563 0.797 0.437
Cu: 0.703 0.063 0.297
Cu: 0.703 0.297 0.937
Cu: 0.703 0.937 0.063
Cu: 0.797 0.203 0.437
Cu: 0.797 0.437 0.563
Cu: 0.797 0.563 0.203
Cu: 0.937 0.063 0.703
Cu: 0.937 0.297 0.063
Cu: 0.937 0.703 0.297

=====

Below is a geometry-optimized ZrCdS3 structure, with properties calculated at the PBE-GGA level.

## Properties
The uncorrected formation energy is 159 kJ/mol of formula units. The volume comes out at 114.00 Å³/cell.

a = 4.849 Å, b = 4.849 Å, c = 4.849 Å
α = 90.00°, β = 90.00°, γ = 90.00°
Positions (direct):
Zr: 0.000 0.000 0.000
Cd: 0.500 0.500 0.500
S: 0.000 0.500 0.500
S: 0.500 0.000 0.500
S: 0.500 0.500 0.000

=====

Below is a geometry-optimized K2Be structure, with properties calculated at the PBE-GGA level.

## Properties
The volume comes out at 512.22 Å³/cell. The calculation puts the formation energy at 74.3 kJ/mol of atoms.

a = 8.961 Å, b = 5.322 Å, c = 10.741 Å
α = 90.00°, β = 90.00°, γ = 90.00°
Positions (direct):
K: 0.026 0.250 0.171
K: 0.150 0.250 0.568
K: 0.350 0.750 0.068
K: 0.474 0.750 0.671
K: 0.526 0.250 0.329
K: 0.650 0.250 0.932
K: 0.850 0.750 0.432
K: 0.974 0.750 0.829
Be: 0.241 0.750 0.375
Be: 0.259 0.250 0.875
Be: 0.741 0.750 0.125
Be: 0.759 0.250 0.625

=====

Below is a geometry-optimized ScCdPb2 structure, with properties calculated at the PBE-GGA level.

## Properties
The volume comes out at 206.60 Å³/cell. The calculation puts the formation energy at -12.5 kJ/mol of atoms.

a = 4.634 Å, b = 4.634 Å, c = 9.621 Å
α = 90.00°, β = 90.00°, γ = 90.00°
Positions (direct):
Sc: 0.000 0.000 0.000
Sc: 0.500 0.500 0.500
Cd: 0.000 0.000 0.500
Cd: 0.500 0.500 0.000
Pb: 0.000 0.500 0.250
Pb: 0.000 0.500 0.750
Pb: 0.500 0.000 0.250
Pb: 0.500 0.000 0.750